Rb2FeI6Br | PBE-GGA | optimized geometry

Results
raw formation energy	-57.3	kJ per mole of atoms
crystal system	tetragonal
E	-27.31	eV per cell

Unit cell a=8.6575 b=8.6575 c=8.4974 alpha=59.37 beta=59.37 gamma=90.00
Sites, in units of the cell vectors:
I: 0.2420 0.2420 0.5160
I: 0.2868 0.2868 0.0000
I: 0.7132 0.7132 0.0000
I: 0.7132 0.2868 0.0000
I: 0.7580 0.7580 0.4840
I: 0.2868 0.7132 0.0000
Fe: 0.5000 0.5000 0.0000
Rb: 0.2500 0.7500 0.5000
Rb: 0.7500 0.2500 0.5000
Br: 0.0000 0.0000 0.0000